Entry 1:
Computed, not measured: an optimized crystal structure of Nd3AgPd2 at the GGA-PBE level of DFT.

POSCAR file:
```
Nd3AgPd2
1.0
-0.0330 -0.1879 -3.9062
2.9435 -3.6667 0.1516
-6.2074 -4.8901 2.2454
Nd Pd Ag
3 2 1
direct
0.6615 0.0000 0.3230 Nd
0.3385 0.0000 0.6770 Nd
0.5000 0.5000 0.0000 Nd
0.1789 0.5000 0.3579 Pd
0.8211 0.5000 0.6421 Pd
0.0000 0.0000 0.0000 Ag
```

Summary:
As for the space group: Cmmm.

Entry 2:
Computed, not measured: an optimized crystal structure of PrAlZn at the GGA-PBE level of DFT.

POSCAR file:
```
PrAlZn
1.0
3.7828 0.0000 0.0000
0.0000 4.5934 0.0000
0.0000 -2.2967 3.9780
Al Pr Zn
1 1 1
direct
0.1666 0.0000 0.0000 Al
0.6667 0.6667 0.3333 Pr
0.1667 0.3333 0.6667 Zn
```

Summary:
As for the space group: P-6m2.

Entry 3:
Computed, not measured: an optimized crystal structure of Ba3Na3Tl2 at the GGA-PBE level of DFT.

POSCAR file:
```
Ba3Na3Tl2
1.0
-0.9540 -1.8581 -3.9468
9.2077 -1.8658 -1.3472
-5.5466 -6.3643 4.3369
Ba Tl Na
3 2 3
direct
0.5000 0.5747 0.0000 Ba
0.5000 0.0000 0.5747 Ba
0.5000 0.4253 0.4253 Ba
0.0000 0.3333 0.6667 Tl
0.0000 0.6667 0.3333 Tl
0.0000 0.7689 0.7689 Na
0.0000 0.0000 0.2311 Na
0.0000 0.2311 0.0000 Na
```

Summary:
As for the space group: P-62m.

Entry 4:
Computed, not measured: an optimized crystal structure of TbZr2Co at the GGA-PBE level of DFT.

POSCAR file:
```
TbZr2Co
1.0
-2.3870 -1.9142 -1.3651
0.1234 -0.7609 -3.2606
4.5088 -8.9356 0.5345
Zr Co Tb
2 1 1
direct
0.8886 0.8886 0.3342 Zr
0.1114 0.1114 0.6658 Zr
0.5000 0.5000 0.5000 Co
0.0000 0.0000 0.0000 Tb
```

Summary:
As for the space group: R-3m.

Values of DFT formation energy, in order: -0.4361, -0.4147, -0.1884, 0.2283, all in eV/atom.
Values of density of states at the Fermi level, in order: 5.12, 1.48, 6.85, 4.57, all in states/eV/cell.
Values of V, in order: 146.8, 69.1, 348.3, 95.6, all in Å³/cell.